# NaAs2RhO6 (GGA-PBE, relaxed)
data_NaAs2RhO6
_chemical_formula_sum 'Na3 As6 Rh3 O18'
_symmetry_space_group_name_H-M 'R -3'
_symmetry_Int_Tables_number 148
_symmetry_space_group_name_Hall '-R 3'
_cell_length_a 5.2181
_cell_length_b 5.2181
_cell_length_c 16.6205
_cell_angle_alpha 90.00
_cell_angle_beta 90.00
_cell_angle_gamma 120.00
loop_
_atom_site_label
_atom_site_type_symbol
_atom_site_fract_x
_atom_site_fract_y
_atom_site_fract_z
Na1 Na 0.0000 0.0000 0.0000
As1 As 0.0000 0.0000 0.2729
Rh1 Rh 0.0000 0.0000 0.5000
O1 O 0.0044 0.6399 0.0965
# Final energy = -5.76 eV/atom
# Spin magnetization = 0.00 μB/cell
# Volume = 391.92 Å³/cell
# Uncorrected formation energy = -0.993 eV per atom